4
Lattice="-3.059 -2.593 -1.159 2.184 -1.268 -2.925 1.465 -2.750 2.286" Properties=species:S:1:pos:R:3 comment="MnRe2Hg (PBE-GGA, optimized geometry)" energy_ry_per_atom=-0.5857 space_group="P4/mmm, No. 123" pbc="T T T"
Hg -0.438 -1.931 -2.042
Re 1.824 -2.009 -0.320
Mn -0.797 -2.672 0.563
Re 0.000 0.000 0.000